(1)
MnHgO2: relaxed, PBE+U.

It has space group Cmcm (No. 63), with a = 3.521 Å, b = 18.764 Å, c = 3.788 Å, α = 90.00°, β = 90.00° and γ = 90.00°. The distinct sites, in fractional coordinates, are Mn at (0.000, 0.063, 0.250), Hg at (0.000, 0.309, 0.250), O at (0.000, 0.044, 0.750) and O at (0.000, 0.166, 0.250).

For the volume, the calculation gives 15.6 A^3/atom. As for the total DFT energy (no corrections): -5.17 eV per atom.

=====

(2)
MnHgO2: relaxed, PBE+U.

It has space group Pnma (No. 62), with a = 6.090 Å, b = 3.833 Å, c = 9.866 Å, α = 90.00°, β = 90.00° and γ = 90.00°. The distinct sites, in fractional coordinates, are Mn at (0.023, 0.250, 0.120), Hg at (0.060, 0.750, 0.401), O at (0.055, 0.750, 0.080) and O at (0.194, 0.250, 0.289).

For the volume, the calculation gives 14.4 A^3/atom. As for the total DFT energy (no corrections): -5.38 eV per atom.

=====

(3)
MnHgO2: relaxed, PBE+U.

It has space group I4/mcm (No. 140), with a = 7.727 Å, b = 7.727 Å, c = 5.560 Å, α = 90.00°, β = 90.00° and γ = 90.00°. The distinct sites, in fractional coordinates, are Mn at (0.000, 0.500, 0.250), Hg at (0.000, 0.000, 0.250) and O at (0.114, 0.386, 0.000).

For the volume, the calculation gives 20.7 A^3/atom. As for the total DFT energy (no corrections): -5.09 eV per atom.

=====

Among the records above, which one has the highest total DFT energy (no corrections)? number 3